(1)
AcHoBe2Ge2 | PBE | relaxed

Properties
total magnetic moment: 0.00 μB/cell

a b c (Å): 4.0042 4.0042 8.7095
angles (deg): 90.00 90.00 120.00
Fractional positions:
Ac  0.0000  0.0000  0.0000
Ho  0.0000  0.0000  0.5000
Be  0.3333  0.6667  0.7272
Be  0.6667  0.3333  0.2728
Ge  0.3333  0.6667  0.2757
Ge  0.6667  0.3333  0.7243

(2)
Ac2Be4Ge3Ir | PBE | relaxed

Properties
total magnetic moment: 0.00 μB/cell

a b c (Å): 4.1571 4.1571 10.1908
angles (deg): 90.00 90.00 90.00
Fractional positions:
Ac  0.0000  0.5000  0.2485
Ac  0.5000  0.0000  0.7515
Be  0.0000  0.0000  0.0000
Be  0.0000  0.5000  0.6149
Be  0.5000  0.0000  0.3851
Be  0.5000  0.5000  0.0000
Ge  0.0000  0.5000  0.8762
Ge  0.5000  0.0000  0.1238
Ge  0.5000  0.5000  0.5000
Ir  0.0000  0.0000  0.5000

(3)
Ac2Be3Ge4Ir | PBE | relaxed

Properties
total magnetic moment: 0.00 μB/cell

a b c (Å): 4.3118 4.3118 10.0437
angles (deg): 90.00 90.00 90.00
Fractional positions:
Ac  0.0000  0.5000  0.2486
Ac  0.5000  0.0000  0.7514
Be  0.0000  0.5000  0.8790
Be  0.5000  0.0000  0.1210
Be  0.5000  0.5000  0.5000
Ge  0.0000  0.0000  0.0000
Ge  0.0000  0.5000  0.6293
Ge  0.5000  0.0000  0.3707
Ge  0.5000  0.5000  0.0000
Ir  0.0000  0.0000  0.5000

(4)
Ac2BeGe3Ir4 | PBE | relaxed

Properties
total magnetic moment: 0.00 μB/cell

a b c (Å): 4.2836 4.2836 10.4608
angles (deg): 90.00 90.00 90.00
Fractional positions:
Ac  0.0000  0.5000  0.2412
Ac  0.5000  0.0000  0.7588
Be  0.5000  0.5000  0.0000
Ge  0.0000  0.0000  0.0000
Ge  0.0000  0.5000  0.6287
Ge  0.5000  0.0000  0.3713
Ir  0.0000  0.0000  0.5000
Ir  0.0000  0.5000  0.8780
Ir  0.5000  0.0000  0.1220
Ir  0.5000  0.5000  0.5000

(5)
LiAcBeGe2 | PBE | relaxed

Properties
total magnetic moment: 0.00 μB/cell

a b c (Å): 4.3423 4.3423 10.2487
angles (deg): 90.00 90.00 90.00
Fractional positions:
Li  0.0000  0.0000  0.0000
Li  0.5000  0.5000  0.5000
Ac  0.0000  0.5000  0.2500
Ac  0.5000  0.0000  0.7500
Be  0.0000  0.0000  0.5000
Be  0.5000  0.5000  0.0000
Ge  0.0000  0.5000  0.6228
Ge  0.0000  0.5000  0.8772
Ge  0.5000  0.0000  0.1228
Ge  0.5000  0.0000  0.3772

(6)
LiAc2Be3Ge4 | PBE | relaxed

Properties
total magnetic moment: 0.00 μB/cell

a b c (Å): 4.3520 4.3520 9.8793
angles (deg): 90.00 90.00 90.00
Fractional positions:
Li  0.0000  0.0000  0.0000
Ac  0.0000  0.5000  0.7499
Ac  0.5000  0.0000  0.2501
Be  0.0000  0.5000  0.3773
Be  0.5000  0.0000  0.6227
Be  0.5000  0.5000  0.0000
Ge  0.0000  0.0000  0.5000
Ge  0.0000  0.5000  0.1351
Ge  0.5000  0.0000  0.8649
Ge  0.5000  0.5000  0.5000

no.,energy relative to the elements (eV/atom)
1,-0.58
2,-0.38
3,-0.38
4,-0.68
5,-0.44
6,-0.40